# 1
# MnVSe3 PBE optimized geometry
data_MnVSe3
_space_group_name_H-M_alt 'P 1'
_space_group_IT_number 1
_cell_length_a 6.5533
_cell_length_b 3.4822
_cell_length_c 8.6672
_cell_angle_alpha 90.00
_cell_angle_beta 105.32
_cell_angle_gamma 90.00
loop_
_space_group_symop_operation_xyz
'x,y,z'
loop_
_atom_site_label
_atom_site_fract_x
_atom_site_fract_y
_atom_site_fract_z
_atom_site_occupancy
Mn1 0.2151 0.2500 0.4963 1
Mn2 0.7849 0.7500 0.5037 1
V1 0.3838 0.2500 0.8585 1
V2 0.6162 0.7500 0.1415 1
Se1 0.0098 0.7500 0.3130 1
Se2 0.2438 0.7500 0.0068 1
Se3 0.4717 0.7500 0.6631 1
Se4 0.5283 0.2500 0.3369 1
Se5 0.7562 0.2500 0.9932 1
Se6 0.9902 0.2500 0.6870 1
# Fermi-level density of states	6.49	states/eV/cell
# SG	P2_1/m, No. 11
# energy above the most stable polymorph in this dataset	0.000	eV/atom
# uncorrected energy	-63.3	eV per cell
# ρ	6.0	g cm⁻³



# 2
# CsUBeN3 PBE optimized geometry
data_CsUBeN3
_space_group_name_H-M_alt 'P 1'
_space_group_IT_number 1
_cell_length_a 8.1138
_cell_length_b 3.4949
_cell_length_c 8.2348
_cell_angle_alpha 90.00
_cell_angle_beta 114.58
_cell_angle_gamma 90.00
loop_
_space_group_symop_operation_xyz
'x,y,z'
loop_
_atom_site_label
_atom_site_fract_x
_atom_site_fract_y
_atom_site_fract_z
_atom_site_occupancy
Cs1 0.2307 0.2500 0.2756 1
Cs2 0.7693 0.7500 0.7244 1
U1 0.3400 0.2500 0.8163 1
U2 0.6600 0.7500 0.1837 1
Be1 0.0984 0.7500 0.5666 1
Be2 0.9016 0.2500 0.4334 1
N1 0.0585 0.2500 0.6456 1
N2 0.3320 0.7500 0.6553 1
N3 0.3662 0.7500 0.9958 1
N4 0.6338 0.2500 0.0042 1
N5 0.6680 0.2500 0.3447 1
N6 0.9415 0.7500 0.3544 1
# SG	P2_1/m, No. 11
# uncorrected energy	-93.2	eV per cell
# ρ	6.6	g cm⁻³



# 3
# CeSmCoI PBE optimized geometry
data_CeSmCoI
_space_group_name_H-M_alt 'P 1'
_space_group_IT_number 1
_cell_length_a 3.9941
_cell_length_b 3.9941
_cell_length_c 8.3403
_cell_angle_alpha 103.80
_cell_angle_beta 103.80
_cell_angle_gamma 59.86
loop_
_space_group_symop_operation_xyz
'x,y,z'
loop_
_atom_site_label
_atom_site_fract_x
_atom_site_fract_y
_atom_site_fract_z
_atom_site_occupancy
Ce1 0.0000 0.0000 0.0000 1
Sm1 0.2124 0.2124 0.6402 1
Co1 0.6132 0.6132 0.8433 1
I1 0.4405 0.4405 0.3237 1
# Fermi-level density of states	5.52	states/eV/cell
# SG	Cm, No. 8
# uncorrected energy	-21.7	eV per cell
# ρ	7.2	g cm⁻³



# 4
# Ti2Zn5Au2 PBE optimized geometry
data_Ti2Zn5Au2
_space_group_name_H-M_alt 'P 1'
_space_group_IT_number 1
_cell_length_a 8.4376
_cell_length_b 8.4376
_cell_length_c 8.4376
_cell_angle_alpha 116.15
_cell_angle_beta 74.62
_cell_angle_gamma 145.55
loop_
_space_group_symop_operation_xyz
'x,y,z'
loop_
_atom_site_label
_atom_site_fract_x
_atom_site_fract_y
_atom_site_fract_z
_atom_site_occupancy
Ti1 0.3963 0.0000 0.8963 1
Ti2 0.3963 0.5000 0.3963 1
Ti3 0.6037 0.0000 0.1037 1
Ti4 0.6037 0.5000 0.6037 1
Zn1 0.0764 0.4386 0.6378 1
Zn2 0.1974 0.0000 0.6974 1
Zn3 0.1974 0.5000 0.1974 1
Zn4 0.3008 0.4386 0.8622 1
Zn5 0.3286 0.0786 0.2500 1
Zn6 0.6714 0.9214 0.7500 1
Zn7 0.6992 0.5614 0.1378 1
Zn8 0.8026 0.0000 0.3026 1
Zn9 0.8026 0.5000 0.8026 1
Zn10 0.9236 0.5614 0.3622 1
Au1 0.0000 0.0000 0.0000 1
Au2 0.0000 0.0000 0.5000 1
Au3 0.0000 0.5000 0.0000 1
Au4 0.5000 0.0000 0.5000 1
# Fermi-level density of states	9.30	states/eV/cell
# SG	Imma, No. 74
# uncorrected energy	-59.2	eV per cell
# ρ	9.1	g cm⁻³



# 5
# MnAlAs2 PBE optimized geometry
data_MnAlAs2
_space_group_name_H-M_alt 'P 1'
_space_group_IT_number 1
_cell_length_a 6.3464
_cell_length_b 6.3464
_cell_length_c 6.3464
_cell_angle_alpha 148.72
_cell_angle_beta 147.88
_cell_angle_gamma 45.44
loop_
_space_group_symop_operation_xyz
'x,y,z'
loop_
_atom_site_label
_atom_site_fract_x
_atom_site_fract_y
_atom_site_fract_z
_atom_site_occupancy
Mn1 0.0000 0.0000 0.0000 1
Al1 0.7414 0.2414 0.5000 1
As1 0.1591 0.6591 0.5000 1
As2 0.4191 0.4191 0.0000 1
# Fermi-level density of states	1.98	states/eV/cell
# SG	Imm2, No. 44
# uncorrected energy	-22.3	eV per cell
# ρ	5.5	g cm⁻³



# 6
# SrSnGe4 PBE optimized geometry
data_SrSnGe4
_space_group_name_H-M_alt 'P 1'
_space_group_IT_number 1
_cell_length_a 5.8049
_cell_length_b 5.8049
_cell_length_c 5.8049
_cell_angle_alpha 60.00
_cell_angle_beta 60.00
_cell_angle_gamma 60.00
loop_
_space_group_symop_operation_xyz
'x,y,z'
loop_
_atom_site_label
_atom_site_fract_x
_atom_site_fract_y
_atom_site_fract_z
_atom_site_occupancy
Sr1 0.0000 0.0000 0.0000 1
Sn1 0.2500 0.2500 0.2500 1
Ge1 0.1275 0.6242 0.6242 1
Ge2 0.6242 0.1275 0.6242 1
Ge3 0.6242 0.6242 0.1275 1
Ge4 0.6242 0.6242 0.6242 1
# Fermi-level density of states	1.41	states/eV/cell
# SG	F-43m, No. 216
# uncorrected energy	-24.8	eV per cell
# ρ	6.0	g cm⁻³